Entry 1:
Crystalline La12DyTh7 at its relaxed geometry, computed with PBE.

CIF file:
```
data_La12DyTh7
_cell_length_a 11.738
_cell_length_b 11.738
_cell_length_c 11.738
_cell_angle_alpha 90.00
_cell_angle_beta 90.00
_cell_angle_gamma 90.00
_symmetry_space_group_name_H-M 'I m -3'
_symmetry_Int_Tables_number 204
_symmetry_space_group_name_Hall '-I 2 2 3'
loop_
_atom_site_label
_atom_site_type_symbol
_atom_site_fract_x
_atom_site_fract_y
_atom_site_fract_z
La1 La 0.000 0.308 0.218
Dy1 Dy 0.000 0.000 0.000
Th1 Th 0.000 0.000 0.500
Th2 Th 0.250 0.250 0.250
```

Results
The calculation puts the total energy at -4.99 eV/atom. The formation energy is 1523 kJ/mol of formula units.

***

Entry 2:
Crystalline ScTiCd2 at its relaxed geometry, computed with PBE.

CIF file:
```
data_ScTiCd2
_cell_length_a 4.378
_cell_length_b 4.378
_cell_length_c 4.267
_cell_angle_alpha 90.00
_cell_angle_beta 90.00
_cell_angle_gamma 90.00
_symmetry_space_group_name_H-M 'P 4/m m m'
_symmetry_Int_Tables_number 123
_symmetry_space_group_name_Hall '-P 4 2'
loop_
_atom_site_label
_atom_site_type_symbol
_atom_site_fract_x
_atom_site_fract_y
_atom_site_fract_z
Sc1 Sc 0.000 0.000 0.000
Ti1 Ti 0.500 0.500 0.000
Cd1 Cd 0.000 0.500 0.500
```

Results
The calculation puts the total energy at -4.11 eV/atom. The formation energy is -38 kJ/mol of formula units. The polymorph energy (0 for the lowest one) comes out at 0.00 kJ/mol of atoms.

***

Entry 3:
Crystalline LaYF2 at its relaxed geometry, computed with PBE.

CIF file:
```
data_LaYF2
_cell_length_a 3.9269
_cell_length_b 3.9269
_cell_length_c 19.3785
_cell_angle_alpha 90.00
_cell_angle_beta 90.00
_cell_angle_gamma 120.00
_symmetry_space_group_name_H-M 'R -3 m'
_symmetry_Int_Tables_number 166
_symmetry_space_group_name_Hall '-R 3 2"'
loop_
_atom_site_label
_atom_site_type_symbol
_atom_site_fract_x
_atom_site_fract_y
_atom_site_fract_z
La1 La 0.0000 0.0000 0.0000
Y1 Y 0.0000 0.0000 0.5000
F1 F 0.0000 0.0000 0.1348
```

Results
The formation energy without anion corrections is -252.0 kJ/mol of atoms. The calculation puts the total energy at -6.40 eV/atom. The polymorph energy (0 for the lowest one) comes out at 0.00 kJ/mol of atoms.